# Ho6TmSc6

A relaxed Ho6TmSc6 crystal (PBE, Alexandria).

The structure in POSCAR format:
```
Ho6TmSc6
1.0
6.381 0.000 0.000
-3.191 5.526 0.000
0.000 0.000 10.801
Ho Tm Sc
6 1 6
Direct
0.000 0.000 0.162
0.000 0.000 0.838
0.333 0.667 0.000
0.333 0.667 0.500
0.667 0.333 0.000
0.667 0.333 0.500
0.000 0.000 0.500
0.000 0.500 0.259
0.000 0.500 0.741
0.500 0.000 0.259
0.500 0.000 0.741
0.500 0.500 0.259
0.500 0.500 0.741
```

Properties
The energy relative to the elements comes out at 0.23 eV per atom. The density of states at the Fermi level is 26.24 states/eV/f.u.